1.
Crystalline CaBi3N at its relaxed geometry. Source: Alexandria via LeMat-Bulk, functional PBE.

Its total DFT energy (no corrections) is -14.62 eV per formula unit. As for the magnetic moment: 0.553 μB per atom. Its offset from the most stable computed form is 1300 meV/atom.

The space group is Pm-3m (No. 221) and the conventional cell measures 5.896, 5.896 and 5.896 Å, with angles of 90.00, 90.00 and 90.00 degrees. The distinct sites, in fractional coordinates, are Ca at (0.000, 0.000, 0.000), Bi at (0.000, 0.000, 0.500) and N at (0.500, 0.500, 0.500).

2.
Crystalline PrGaPbS4 at its relaxed geometry. Source: Alexandria via LeMat-Bulk, functional PBE.

Its total DFT energy (no corrections) is -35.55 eV per formula unit. As for the magnetic moment: 0.000 μB per atom.

The space group is P2_1/m (No. 11) and the conventional cell measures 6.684, 6.681 and 8.087 Å, with angles of 90.00, 107.00 and 90.00 degrees. The distinct sites, in fractional coordinates, are Pr at (0.230, 0.250, 0.060), Ga at (0.235, 0.750, 0.808), Pb at (0.254, 0.250, 0.571), S at (0.003, 0.008, 0.760), S at (0.431, 0.750, 0.093) and S at (0.434, 0.750, 0.626).

3.
Crystalline ScSiPt2Rh at its relaxed geometry. Source: Alexandria via LeMat-Bulk, functional PBE.

Its total DFT energy (no corrections) is -29.79 eV per formula unit. As for the magnetic moment: 0.000 μB per atom.

The space group is P4/mmm (No. 123) and the conventional cell measures 4.976, 4.976 and 4.245 Å, with angles of 90.00, 90.00 and 90.00 degrees. The distinct sites, in fractional coordinates, are Sc at (0.000, 0.000, 0.000), Si at (0.500, 0.500, 0.000), Pt at (0.000, 0.500, 0.500) and Rh at (0.500, 0.500, 0.500).

4.
Crystalline SrHfIr2 at its relaxed geometry. Source: Alexandria via LeMat-Bulk, functional PBE.

Its total DFT energy (no corrections) is -31.62 eV per formula unit. As for the magnetic moment: 0.000 μB per atom. Its offset from the most stable computed form is 0 meV/atom. Its formation energy is -0.566 eV per atom.

The space group is P4/mmm (No. 123) and the conventional cell measures 3.259, 3.259 and 7.604 Å, with angles of 90.00, 90.00 and 90.00 degrees. The distinct sites, in fractional coordinates, are Sr at (0.000, 0.000, 0.000), Hf at (0.000, 0.000, 0.500) and Ir at (0.500, 0.500, 0.297).

5.
Crystalline PmThSn at its relaxed geometry. Source: Alexandria via LeMat-Bulk, functional PBE.

Its total DFT energy (no corrections) is -17.54 eV per formula unit. As for the magnetic moment: 0.000 μB per atom. Its offset from the most stable computed form is 44 meV/atom. Its formation energy is -0.456 eV per atom.

The space group is Cmcm (No. 63) and the conventional cell measures 4.419, 16.410 and 5.003 Å, with angles of 90.00, 90.00 and 90.00 degrees. The distinct sites, in fractional coordinates, are Pm at (0.000, 0.071, 0.250), Th at (0.000, 0.248, 0.750) and Sn at (0.000, 0.402, 0.250).

6.
Crystalline Nd2Er7Tm2 at its relaxed geometry. Source: Alexandria via LeMat-Bulk, functional PBE.

Its total DFT energy (no corrections) is -48.70 eV per formula unit. As for the magnetic moment: 0.000 μB per atom. Its offset from the most stable computed form is 0 meV/atom. Its formation energy is 0.157 eV per atom.

The space group is C2/m (No. 12) and the conventional cell measures 11.153, 11.433 and 6.049 Å, with angles of 90.00, 113.90 and 90.00 degrees. The distinct sites, in fractional coordinates, are Nd at (0.090, 0.000, 0.305), Er at (0.000, 0.500, 0.500), Er at (0.175, 0.263, 0.681), Er at (0.227, 0.500, 0.079) and Tm at (0.000, 0.287, 0.000).

7.
Crystalline LaSm2YAs4 at its relaxed geometry. Source: Alexandria via LeMat-Bulk, functional PBE.

Its total DFT energy (no corrections) is -51.71 eV per formula unit. As for the magnetic moment: 0.000 μB per atom. Its formation energy is -1.536 eV per atom.

The space group is P2/m (No. 10) and the conventional cell measures 7.329, 4.237 and 7.334 Å, with angles of 90.00, 109.43 and 90.00 degrees. The distinct sites, in fractional coordinates, are La at (0.000, 0.000, 0.000), Sm at (0.000, 0.500, 0.500), Sm at (0.500, 0.000, 0.500), Y at (0.500, 0.500, 0.000), As at (0.256, 0.000, 0.751) and As at (0.257, 0.500, 0.253).

8.
Crystalline InGaSnGe at its relaxed geometry. Source: Alexandria via LeMat-Bulk, functional PBE.

Its total DFT energy (no corrections) is -13.70 eV per formula unit. As for the magnetic moment: 0.000 μB per atom. Its formation energy is 0.170 eV per atom.

The space group is F-43m (No. 216) and the conventional cell measures 7.188, 7.188 and 7.188 Å, with angles of 90.00, 90.00 and 90.00 degrees. The distinct sites, in fractional coordinates, are In at (0.000, 0.000, 0.000), Ga at (0.250, 0.250, 0.250), Sn at (0.000, 0.000, 0.500) and Ge at (0.250, 0.250, 0.750).

9.
Crystalline Cs2NaGaH6 at its relaxed geometry. Source: Alexandria via LeMat-Bulk, functional PBE.

Its total DFT energy (no corrections) is -27.46 eV per formula unit. As for the magnetic moment: 0.000 μB per atom. Its offset from the most stable computed form is 12 meV/atom.

The space group is P-3m1 (No. 164) and the conventional cell measures 6.2099, 6.2099 and 5.5299 Å, with angles of 90.00, 90.00 and 120.00 degrees. The distinct sites, in fractional coordinates, are Cs at (0.3333, 0.6667, 0.2063), Na at (0.0000, 0.0000, 0.5000), Ga at (0.0000, 0.0000, 0.0000) and H at (0.1367, 0.2734, 0.8110).

10.
Crystalline Sb2SeS at its relaxed geometry. Source: Alexandria via LeMat-Bulk, functional PBE.

Its total DFT energy (no corrections) is -15.64 eV per formula unit. As for the magnetic moment: 0.000 μB per atom. Its offset from the most stable computed form is 79 meV/atom.

The space group is I-42d (No. 122) and the conventional cell measures 7.642, 7.642 and 6.981 Å, with angles of 90.00, 90.00 and 90.00 degrees. The distinct sites, in fractional coordinates, are Sb at (0.239, 0.250, 0.125), Se at (0.000, 0.000, 0.500) and S at (0.000, 0.000, 0.000).

11.
Crystalline Sm6TmSc3 at its relaxed geometry. Source: Alexandria via LeMat-Bulk, functional PBE.

Its total DFT energy (no corrections) is -49.94 eV per formula unit. As for the magnetic moment: 0.095 μB per atom. Its offset from the most stable computed form is 45 meV/atom. Its formation energy is 0.184 eV per atom.

The space group is R3 (No. 146, hexagonal axes) and the conventional cell measures 9.6910, 9.6910 and 11.5381 Å, with angles of 90.00, 90.00 and 120.00 degrees. The distinct sites, in fractional coordinates, are Sm at (0.9996, 0.3380, 0.0000), Sm at (0.9999, 0.6638, 0.5001), Tm at (0.0000, 0.0000, 0.0008), Sc at (0.0000, 0.0000, 0.2589), Sc at (0.0000, 0.0000, 0.5008) and Sc at (0.0000, 0.0000, 0.7432).

12.
Crystalline SrCd2AgAu2 at its relaxed geometry. Source: Alexandria via LeMat-Bulk, functional PBE.

Its total DFT energy (no corrections) is -13.77 eV per formula unit. As for the magnetic moment: 0.000 μB per atom. Its formation energy is -0.141 eV per atom.

The space group is I4/mmm (No. 139) and the conventional cell measures 5.423, 5.423 and 11.737 Å, with angles of 90.00, 90.00 and 90.00 degrees. The distinct sites, in fractional coordinates, are Sr at (0.000, 0.000, 0.000), Cd at (0.000, 0.500, 0.250), Ag at (0.000, 0.000, 0.500) and Au at (0.000, 0.000, 0.271).